[1]
A relaxed CeCdAu crystal. Source: the Alexandria database, functional GGA-PBE.

Formation enthalpy at 0 K = -418 meV/atom
ρ = 9.1 g/cm3
Crystal system = cubic
D(E_F) = 2.320 states/eV/atom
Size of the total moment = 1.35 μB/cell
Distance to the lowest polymorph of the same formula = 123.4 meV per atom

POSCAR file:
```
CeCdAu
1.0
-4.8167 0.2850 -0.7641
-1.7723 -0.2681 -4.5446
-2.4858 -3.9575 -1.4229
Ce Au Cd
1 1 1
Direct
0.0000 0.0000 0.0000
0.2500 0.2500 0.2500
0.5000 0.5000 0.5000
```

***

[2]
A relaxed PuPaSb crystal. Source: the Alexandria database, functional GGA-PBE.

ρ = 13.1 g/cm3
Crystal system = hexagonal
D(E_F) = 2.905 states/eV/atom
Uncorrected formation energy = -372 meV per atom
Size of the total moment = 10.89 μB/cell
Distance to the lowest polymorph of the same formula = 37.4 meV per atom

POSCAR file:
```
PuPaSb
1.0
5.2687 -0.0015 0.0000
-2.6337 4.5633 0.0000
0.0000 0.0000 6.2776
Pu Pa Sb
2 2 2
Direct
0.3332 0.1668 0.7500
0.6668 0.8332 0.2500
0.0000 0.5000 0.0000
0.0000 0.5000 0.5000
0.6665 0.8335 0.7500
0.3335 0.1665 0.2500
```

***

[3]
A relaxed BPt2Cl crystal. Source: the Alexandria database, functional GGA-PBE.

ρ = 13.0 g/cm3
Crystal system = cubic
D(E_F) = 0.109 states/eV/atom
Uncorrected formation energy = 963 meV per atom
Size of the total moment = 0.00 μB/cell
Distance to the lowest polymorph of the same formula = 766.4 meV per atom

POSCAR file:
```
BPt2Cl
1.0
0.0000 3.0291 3.0291
3.0291 0.0000 3.0291
3.0291 3.0291 0.0000
Pt Cl B
2 1 1
Direct
0.7500 0.7500 0.7500
0.2500 0.2500 0.2500
0.5000 0.5000 0.5000
0.0000 0.0000 0.0000
```

***

[4]
A relaxed Ac2PaTcN6 crystal. Source: the Alexandria database, functional GGA-PBE.

ρ = 9.6 g/cm3
Crystal system = tetragonal
D(E_F) = 0.617 states/eV/atom
Uncorrected formation energy = -790 meV per atom
Size of the total moment = 0.00 μB/cell

POSCAR file:
```
Ac2PaTcN6
1.0
-0.0780 3.1552 2.7412
-0.3600 -2.7365 3.1396
8.5320 -0.3636 0.6614
N Ac Pa Tc
6 2 1 1
Direct
0.0000 0.5000 0.5000
0.5000 0.0000 0.0000
0.0000 0.5000 0.0000
0.5000 0.0000 0.5000
0.5000 0.5000 0.7309
0.5000 0.5000 0.2691
0.0000 0.0000 0.7223
0.0000 0.0000 0.2777
0.5000 0.5000 0.0000
0.5000 0.5000 0.5000
```

***

[5]
A relaxed YTlIO2 crystal. Source: the Alexandria database, functional GGA-PBE.

ρ = 6.6 g/cm3
Crystal system = tetragonal
D(E_F) = 0.267 states/eV/atom
Uncorrected formation energy = -310 meV per atom
Size of the total moment = 0.00 μB/cell
Distance to the lowest polymorph of the same formula = 1069.7 meV per atom

POSCAR file:
```
YTlIO2
1.0
-0.7443 4.0900 -1.5355
-1.7265 -1.7062 -3.7079
-5.2239 -0.0320 2.4471
O I Y Tl
2 1 1 1
Direct
0.0000 0.5000 0.0000
0.5000 0.0000 0.0000
0.0000 0.0000 0.5000
0.5000 0.5000 0.5000
0.0000 0.0000 0.0000
```

***

[6]
A relaxed K3GeO4 crystal. Source: the Alexandria database, functional GGA-PBE.

ρ = 2.7 g/cm3
Crystal system = orthorhombic
D(E_F) = 0.920 states/eV/atom
Uncorrected formation energy = -1519 meV per atom
Size of the total moment = 4.07 μB/cell
Distance to the lowest polymorph of the same formula = 0.0 meV per atom

POSCAR file:
```
K3GeO4
1.0
7.8538 0.0000 0.0000
0.0000 9.2928 0.0000
0.0000 0.0000 8.4417
O K Ge
16 12 4
Direct
0.3280 0.4416 0.4253
0.2547 0.2022 0.7500
0.8280 0.0584 0.4253
0.6720 0.5584 0.9253
0.3280 0.4416 0.0747
0.1720 0.9416 0.9253
0.0132 0.4568 0.2500
0.6720 0.5584 0.5747
0.2453 0.7022 0.2500
0.1720 0.9416 0.5747
0.5132 0.0432 0.2500
0.8280 0.0584 0.0747
0.4868 0.9568 0.7500
0.9868 0.5432 0.7500
0.7453 0.7978 0.2500
0.7547 0.2978 0.7500
0.1751 0.9895 0.2500
0.9756 0.7161 0.0190
0.4756 0.7839 0.0190
0.0244 0.2839 0.9810
0.6751 0.5105 0.2500
0.5244 0.2161 0.9810
0.3249 0.4895 0.7500
0.8249 0.0105 0.7500
0.0244 0.2839 0.5190
0.9756 0.7161 0.4810
0.4756 0.7839 0.4810
0.5244 0.2161 0.5190
0.7309 0.9889 0.2500
0.2309 0.5111 0.2500
0.7691 0.4889 0.7500
0.2691 0.0111 0.7500
```